Entry 1:
Ba2InHAu: relaxed, PBE.

extended XYZ file:
```
5
Lattice="-3.693 4.509 1.028 -1.049 0.464 -5.806 -3.103 -2.622 0.352" Properties=species:S:1:pos:R:3 pbc="T T T"
H 0.000 0.000 0.000
Au -1.551 -1.311 0.176
Ba -0.525 0.232 -2.903
Ba -1.847 2.254 0.514
In -3.923 1.175 -2.213
```

Output
**Space-group type**: No. 123
**Electronic total energy**: -3.069 eV per atom
**Total moment**: 0.0 Bohr magnetons per cell

Entry 2:
Ba2InHAu: relaxed, PBE.

extended XYZ file:
```
5
Lattice="5.667 0.000 0.000 0.000 5.667 0.000 0.000 0.000 4.463" Properties=species:S:1:pos:R:3 pbc="T T T"
H 0.000 0.000 0.000
Au 2.833 2.833 2.232
Ba 0.000 2.833 0.000
Ba 2.833 0.000 0.000
In 0.000 0.000 2.232
```

Output
**Space-group type**: No. 123
**Electronic total energy**: -3.027 eV per atom
**Total moment**: 0.0 Bohr magnetons per cell

Entry 3:
BaHIr2Au: relaxed, PBE.

extended XYZ file:
```
5
Lattice="5.227 0.000 0.000 0.000 3.630 0.000 0.000 0.000 5.227" Properties=species:S:1:pos:R:3 pbc="T T T"
H 0.000 1.815 0.000
Ir 0.000 0.000 2.613
Ir 2.613 0.000 0.000
Au 2.613 1.815 2.613
Ba 0.000 0.000 0.000
```

Output
**Space-group type**: No. 123
**Electronic total energy**: -3.405 eV per atom
**Total moment**: 0.4 Bohr magnetons per cell

Entry 4:
K2BaH6Au2: relaxed, PBE.

extended XYZ file:
```
11
Lattice="5.665 0.000 0.000 -2.832 5.100 0.029 0.000 -2.860 7.233" Properties=species:S:1:pos:R:3 pbc="T T T"
K 2.832 1.504 1.040
K 0.000 0.736 6.222
Ba 2.832 -1.430 3.617
H 2.832 1.216 4.394
H -1.375 3.965 1.317
H 1.458 -1.725 5.945
H 4.207 -1.725 5.945
H 1.375 3.965 1.317
H 0.000 1.024 2.869
Au 2.832 2.573 5.422
Au 0.000 -0.334 1.841
```

Output
**Space-group type**: No. 12
**Electronic total energy**: -3.052 eV per atom
**Total moment**: 0.0 Bohr magnetons per cell

Entry 5:
K2BaHAu: relaxed, PBE.

extended XYZ file:
```
5
Lattice="-3.782 -0.734 3.448 -2.221 -3.431 -3.167 3.059 -4.245 2.453" Properties=species:S:1:pos:R:3 pbc="T T T"
H 0.000 0.000 0.000
K -1.110 -1.715 -1.583
K -1.891 -0.367 1.724
Au -1.472 -4.205 1.367
Ba 1.530 -2.122 1.226
```

Output
**Space-group type**: No. 123
**Electronic total energy**: -2.348 eV per atom
**Total moment**: 0.0 Bohr magnetons per cell

Entry 6:
BaLi2HAu: relaxed, PBE.

extended XYZ file:
```
5
Lattice="4.440 0.000 0.000 0.000 4.440 0.000 0.000 0.000 5.430" Properties=species:S:1:pos:R:3 pbc="T T T"
H 0.000 0.000 0.000
Au 2.220 2.220 2.715
Ba 0.000 0.000 2.715
Li 0.000 2.220 0.000
Li 2.220 0.000 0.000
```

Output
**Space-group type**: No. 123
**Electronic total energy**: -2.785 eV per atom
**Total moment**: 0.0 Bohr magnetons per cell

Entry 7:
Ba2LiHAu: relaxed, PBE.

extended XYZ file:
```
5
Lattice="-0.595 -1.209 -5.686 -3.468 -4.514 1.322 -3.287 2.471 -0.182" Properties=species:S:1:pos:R:3 pbc="T T T"
H 0.000 0.000 0.000
Au -1.643 1.236 -0.091
Ba -1.734 -2.257 0.661
Ba -0.297 -0.604 -2.843
Li -3.674 -1.626 -2.273
```

Output
**Space-group type**: No. 123
**Electronic total energy**: -2.739 eV per atom
**Total moment**: 0.0 Bohr magnetons per cell

Entry 8:
Ba2LiHAu: relaxed, PBE.

extended XYZ file:
```
10
Lattice="-1.378 1.525 -3.947 4.861 -4.512 -3.441 -7.859 -4.292 1.084" Properties=species:S:1:pos:R:3 pbc="T T T"
Ba -1.746 -5.029 -5.097
Ba 2.357 -2.563 -5.576
Ba -2.630 -2.250 -1.206
Ba -6.733 -4.715 -0.727
Li -3.514 -5.362 -2.100
Li -0.862 -1.916 -4.203
H -2.794 -6.882 -2.939
H -1.582 -0.397 -3.364
Au 0.593 -3.803 -2.931
Au -4.969 -3.476 -3.372
```

Output
**Space-group type**: No. 11
**Electronic total energy**: -2.887 eV per atom
**Total moment**: 0.0 Bohr magnetons per cell

Entry 9:
BaLiH6Au2: relaxed, PBE.

extended XYZ file:
```
20
Lattice="6.545 -0.417 -1.080 -1.215 6.445 -1.080 -2.528 -2.859 7.313" Properties=species:S:1:pos:R:3 pbc="T T T"
Ba -1.215 5.171 0.748
Ba 4.017 -2.003 4.405
Li 3.334 1.149 0.748
Li -0.532 2.020 4.405
H -0.907 1.305 2.297
H 2.659 5.339 -0.801
H 3.709 1.863 2.856
H 0.143 -2.170 5.953
H 1.053 0.910 0.628
H 3.292 3.441 0.869
H 1.748 2.258 4.525
H -0.490 -0.273 4.284
H 0.154 3.548 2.511
H -1.965 1.152 6.298
H 2.648 -0.379 2.641
H 4.767 2.016 -1.145
Au 0.865 -0.748 5.210
Au 2.386 0.972 3.599
Au 1.937 3.916 -0.058
Au 0.416 2.196 1.554
```

Output
**Space-group type**: No. 15
**Electronic total energy**: -3.271 eV per atom
**Total moment**: 0.0 Bohr magnetons per cell

Entry 10:
Ba2LiHAu: relaxed, PBE.

extended XYZ file:
```
5
Lattice="5.673 0.000 0.000 0.000 5.673 0.000 0.000 0.000 4.184" Properties=species:S:1:pos:R:3 pbc="T T T"
H 0.000 0.000 0.000
Au 2.837 2.837 2.092
Ba 0.000 2.837 0.000
Ba 2.837 0.000 0.000
Li 0.000 0.000 2.092
```

Output
**Space-group type**: No. 123
**Electronic total energy**: -2.882 eV per atom
**Total moment**: 0.0 Bohr magnetons per cell

Entry 11:
BaMg2HAu: relaxed, PBE.

extended XYZ file:
```
10
Lattice="4.264 0.000 0.000 -2.132 6.361 0.000 0.000 0.000 8.251" Properties=species:S:1:pos:R:3 pbc="T T T"
Ba 0.000 5.783 6.188
Ba 2.132 0.578 2.063
Mg 0.000 2.171 7.757
Mg 2.132 4.190 0.494
Mg 0.000 2.171 4.620
Mg 2.132 4.190 3.631
H 0.000 0.000 0.000
H 0.000 0.000 4.125
Au 2.132 2.977 6.188
Au 0.000 3.384 2.063
```

Output
**Space-group type**: No. 63
**Electronic total energy**: -2.800 eV per atom
**Total moment**: 0.0 Bohr magnetons per cell

Entry 12:
BaMgHAu2: relaxed, PBE.

extended XYZ file:
```
5
Lattice="-2.075 1.549 -4.200 -5.695 -3.033 1.696 -1.516 4.113 2.266" Properties=species:S:1:pos:R:3 pbc="T T T"
H -4.643 1.314 -0.119
Mg 0.000 0.000 0.000
Au -0.758 2.057 1.133
Au -1.038 0.774 -2.100
Ba -2.848 -1.516 0.848
```

Output
**Space-group type**: No. 123
**Electronic total energy**: -2.442 eV per atom
**Total moment**: 0.0 Bohr magnetons per cell

Question: Number 7 is which compound?
Answer: Ba2LiHAu